Record 1
{
  "formula": "CaAcZnPd",
  "functional": "GGA-PBE",
  "state": "optimized geometry",
  "cell": [[4.435, 0.000, 0.000], [0.000, 2.114, 5.882], [0.000, -2.114, 5.882]],
  "species": ["Ca", "Ac", "Zn", "Pd"],
  "fractional_positions": [[0.000, 0.000, 0.000], [0.500, 0.722, 0.722], [0.500, 0.434, 0.434], [0.000, 0.296, 0.296]],
  "delta_e_f_ev_per_atom": -0.537,
  "total_magnetization_mub_per_cell": 0.0,
  "total_energy_ev_per_cell": -14.72
}


Record 2
{
  "formula": "VFeBi2",
  "functional": "GGA-PBE",
  "state": "optimized geometry",
  "cell": [[0.000, 3.467, 3.467], [3.467, 0.000, 3.467], [3.467, 3.467, 0.000]],
  "species": ["V", "Fe", "Bi", "Bi"],
  "fractional_positions": [[0.000, 0.000, 0.000], [0.500, 0.500, 0.500], [0.250, 0.250, 0.250], [0.750, 0.750, 0.750]],
  "delta_e_f_ev_per_atom": 0.598,
  "total_magnetization_mub_per_cell": 5.0,
  "total_energy_ev_per_cell": -22.95
}


Record 3
{
  "formula": "YInHg4",
  "functional": "GGA-PBE",
  "state": "optimized geometry",
  "cell": [[0.000, 4.250, 4.250], [4.250, 0.000, 4.250], [4.250, 4.250, 0.000]],
  "species": ["Y", "In", "Hg", "Hg", "Hg", "Hg"],
  "fractional_positions": [[0.000, 0.000, 0.000], [0.250, 0.250, 0.250], [0.124, 0.625, 0.625], [0.625, 0.124, 0.625], [0.625, 0.625, 0.124], [0.625, 0.625, 0.625]],
  "delta_e_f_ev_per_atom": -0.057,
  "total_magnetization_mub_per_cell": 0.0,
  "total_energy_ev_per_cell": -10.75
}


Record 4
{
  "formula": "Na2In12Cu",
  "functional": "GGA-PBE",
  "state": "optimized geometry",
  "cell": [[6.733, 0.000, 0.000], [0.000, 6.733, 0.000], [0.000, 0.000, 18.480]],
  "species": ["Na", "Na", "Na", "Na", "In", "In", "In", "In", "In", "In", "In", "In", "In", "In", "In", "In", "In", "In", "In", "In", "In", "In", "In", "In", "In", "In", "In", "In", "Cu", "Cu"],
  "fractional_positions": [[0.250, 0.750, 0.249], [0.250, 0.750, 0.751], [0.750, 0.250, 0.249], [0.750, 0.250, 0.751], [0.000, 0.000, 0.418], [0.000, 0.000, 0.582], [0.000, 0.500, 0.418], [0.000, 0.500, 0.582], [0.078, 0.578, 0.070], [0.078, 0.922, 0.930], [0.250, 0.250, 0.164], [0.250, 0.250, 0.318], [0.250, 0.250, 0.682], [0.250, 0.250, 0.836], [0.422, 0.578, 0.930], [0.422, 0.922, 0.070], [0.500, 0.000, 0.418], [0.500, 0.000, 0.582], [0.500, 0.500, 0.418], [0.500, 0.500, 0.582], [0.578, 0.078, 0.930], [0.578, 0.422, 0.070], [0.750, 0.750, 0.164], [0.750, 0.750, 0.318], [0.750, 0.750, 0.682], [0.750, 0.750, 0.836], [0.922, 0.078, 0.070], [0.922, 0.422, 0.930], [0.250, 0.750, 0.500], [0.750, 0.250, 0.500]],
  "delta_e_f_ev_per_atom": -0.016,
  "total_magnetization_mub_per_cell": 0.0,
  "total_energy_ev_per_cell": -79.68
}